(1)
# Y4ZrN4 | Alexandria via LeMat-Bulk | PBE | relaxed
data_Y4ZrN4
_chemical_formula_sum 'Y8 Zr2 N8'
_cell_length_a 7.659
_cell_length_b 7.659
_cell_length_c 4.935
_cell_angle_alpha 90.00
_cell_angle_beta 90.00
_cell_angle_gamma 90.00
_space_group_name_H-M_alt 'I 4/m'
_space_group_IT_number 87
_space_group_name_Hall '-I 4'
loop_
_atom_site_label
_atom_site_type_symbol
_atom_site_fract_x
_atom_site_fract_y
_atom_site_fract_z
Y1 Y 0.108 0.691 0.000
Zr1 Zr 0.000 0.000 0.500
N1 N 0.094 0.713 0.500
# - Crystal system: tetragonal
# - Uncorrected formation energy: -1.48 eV/atom
# - Energy: -9.00 eV/atom
# - Size of the total moment: 0.0 μB per formula unit

=====

(2)
# Ca2MnCrCd | Alexandria via LeMat-Bulk | PBE | relaxed
data_Ca2MnCrCd
_chemical_formula_sum 'Ca2 Mn1 Cr1 Cd1'
_cell_length_a 5.818
_cell_length_b 5.818
_cell_length_c 5.038
_cell_angle_alpha 90.00
_cell_angle_beta 90.00
_cell_angle_gamma 90.00
_space_group_name_H-M_alt 'P 4/m m m'
_space_group_IT_number 123
_space_group_name_Hall '-P 4 2'
loop_
_atom_site_label
_atom_site_type_symbol
_atom_site_fract_x
_atom_site_fract_y
_atom_site_fract_z
Ca1 Ca 0.000 0.500 0.000
Mn1 Mn 0.000 0.000 0.500
Cr1 Cr 0.500 0.500 0.500
Cd1 Cd 0.000 0.000 0.000
# - E_form: 0.8483 eV/atom
# - Crystal system: tetragonal
# - Energy: -3.89 eV/atom
# - Size of the total moment: 9.3 μB per formula unit

=====

(3)
# Y2Ho8Tc | Alexandria via LeMat-Bulk | PBE | relaxed
data_Y2Ho8Tc
_chemical_formula_sum 'Y4 Ho16 Tc2'
_cell_length_a 18.483
_cell_length_b 5.446
_cell_length_c 6.434
_cell_angle_alpha 90.00
_cell_angle_beta 90.54
_cell_angle_gamma 90.00
_space_group_name_H-M_alt 'C 1 2/m 1'
_space_group_IT_number 12
loop_
_space_group_symop_operation_xyz
'x,y,z'
'-x,-y,-z'
'-x,y,-z'
'x,-y,z'
'x+1/2,y+1/2,z'
'-x+1/2,-y+1/2,-z'
'-x+1/2,y+1/2,-z'
'x+1/2,-y+1/2,z'
loop_
_atom_site_label
_atom_site_type_symbol
_atom_site_fract_x
_atom_site_fract_y
_atom_site_fract_z
Y1 Y 0.236 0.000 0.330
Ho1 Ho 0.038 0.000 0.240
Ho2 Ho 0.076 0.500 0.629
Ho3 Ho 0.147 0.500 0.131
Ho4 Ho 0.157 0.000 0.825
Tc1 Tc 0.000 0.500 0.000
# - E_form: 0.0165 eV/atom
# - Crystal system: monoclinic
# - Energy: -5.43 eV/atom
# - Size of the total moment: 0.0 μB per formula unit

=====

(4)
# Sr2LiO12 | Alexandria via LeMat-Bulk | PBE | relaxed
data_Sr2LiO12
_chemical_formula_sum 'Sr2 Li1 O12'
_cell_length_a 4.364
_cell_length_b 6.001
_cell_length_c 9.067
_cell_angle_alpha 93.90
_cell_angle_beta 98.35
_cell_angle_gamma 95.50
_space_group_name_H-M_alt 'P 1'
_space_group_IT_number 1
loop_
_space_group_symop_operation_xyz
'x,y,z'
loop_
_atom_site_label
_atom_site_type_symbol
_atom_site_fract_x
_atom_site_fract_y
_atom_site_fract_z
Sr1 Sr 0.000 0.000 0.000
Sr2 Sr 0.097 0.553 0.389
Li1 Li 0.444 0.148 0.593
O1 O 0.082 0.119 0.289
O2 O 0.137 0.992 0.402
O3 O 0.264 0.136 0.782
O4 O 0.485 0.121 0.899
O5 O 0.535 0.824 0.131
O6 O 0.539 0.813 0.614
O7 O 0.562 0.692 0.241
O8 O 0.608 0.391 0.471
O9 O 0.729 0.765 0.726
O10 O 0.837 0.342 0.581
O11 O 0.972 0.561 0.988
O12 O 0.998 0.431 0.097
# - Crystal system: triclinic
# - Uncorrected formation energy: -0.87 eV/atom
# - Energy: -5.19 eV/atom
# - Size of the total moment: 7.0 μB per formula unit

=====

(5)
# PmPuInPt | Alexandria via LeMat-Bulk | PBE | relaxed
data_PmPuInPt
_chemical_formula_sum 'Pm4 Pu4 In4 Pt4'
_cell_length_a 7.371
_cell_length_b 7.371
_cell_length_c 7.371
_cell_angle_alpha 90.00
_cell_angle_beta 90.00
_cell_angle_gamma 90.00
_space_group_name_H-M_alt 'F -4 3 m'
_space_group_IT_number 216
_space_group_name_Hall 'F -4 2 3'
loop_
_atom_site_label
_atom_site_type_symbol
_atom_site_fract_x
_atom_site_fract_y
_atom_site_fract_z
Pm1 Pm 0.000 0.000 0.000
Pu1 Pu 0.000 0.000 0.500
In1 In 0.250 0.250 0.750
Pt1 Pt 0.250 0.250 0.250
# - E_form: -0.4609 eV/atom
# - Crystal system: cubic
# - Energy: -7.43 eV/atom
# - Size of the total moment: 5.5 μB per formula unit

=====

(6)
# PuIn2Sb | Alexandria via LeMat-Bulk | PBE | relaxed
data_PuIn2Sb
_chemical_formula_sum 'Pu3 In6 Sb3'
_cell_length_a 3.3245
_cell_length_b 3.3245
_cell_length_c 35.9145
_cell_angle_alpha 90.00
_cell_angle_beta 90.00
_cell_angle_gamma 120.00
_space_group_name_H-M_alt 'R -3 m'
_space_group_IT_number 166
_space_group_name_Hall '-R 3 2"'
loop_
_atom_site_label
_atom_site_type_symbol
_atom_site_fract_x
_atom_site_fract_y
_atom_site_fract_z
Pu1 Pu 0.0000 0.0000 0.0000
In1 In 0.0000 0.0000 0.0899
Sb1 Sb 0.0000 0.0000 0.5000
# - Crystal system: trigonal
# - Uncorrected formation energy: 0.25 eV/atom
# - Energy: -5.73 eV/atom
# - Size of the total moment: 6.2 μB per formula unit

=====

(7)
# Y2BeNi | Alexandria via LeMat-Bulk | PBE | relaxed
data_Y2BeNi
_chemical_formula_sum 'Y2 Be1 Ni1'
_cell_length_a 3.218
_cell_length_b 3.218
_cell_length_c 7.728
_cell_angle_alpha 90.00
_cell_angle_beta 90.00
_cell_angle_gamma 90.00
_space_group_name_H-M_alt 'P 4 m m'
_space_group_IT_number 99
loop_
_space_group_symop_operation_xyz
'x,y,z'
'-y,x,z'
'-x,-y,z'
'y,-x,z'
'-x,y,z'
'y,x,z'
'x,-y,z'
'-y,-x,z'
loop_
_atom_site_label
_atom_site_type_symbol
_atom_site_fract_x
_atom_site_fract_y
_atom_site_fract_z
Y1 Y 0.000 0.000 0.000
Y2 Y 0.500 0.500 0.395
Be1 Be 0.000 0.000 0.645
Ni1 Ni 0.500 0.500 0.753
# - E_form: -0.0125 eV/atom
# - Crystal system: tetragonal
# - Energy: -5.62 eV/atom
# - Size of the total moment: 0.0 μB per formula unit

=====

(8)
# ScGaSbP2 | Alexandria via LeMat-Bulk | PBE | relaxed
data_ScGaSbP2
_chemical_formula_sum 'Sc1 Ga1 Sb1 P2'
_cell_length_a 4.943
_cell_length_b 4.943
_cell_length_c 5.186
_cell_angle_alpha 90.00
_cell_angle_beta 90.00
_cell_angle_gamma 90.00
_space_group_name_H-M_alt 'P 4/m m m'
_space_group_IT_number 123
_space_group_name_Hall '-P 4 2'
loop_
_atom_site_label
_atom_site_type_symbol
_atom_site_fract_x
_atom_site_fract_y
_atom_site_fract_z
Sc1 Sc 0.000 0.000 0.000
Ga1 Ga 0.000 0.000 0.500
Sb1 Sb 0.500 0.500 0.500
P1 P 0.000 0.500 0.000
# - Crystal system: tetragonal
# - Uncorrected formation energy: 0.43 eV/atom
# - Energy: -4.43 eV/atom
# - Size of the total moment: 0.0 μB per formula unit

=====

(9)
# ThTlB2O6 | Alexandria via LeMat-Bulk | PBE | relaxed
data_ThTlB2O6
_chemical_formula_sum 'Th4 Tl4 B8 O24'
_cell_length_a 7.880
_cell_length_b 10.559
_cell_length_c 7.160
_cell_angle_alpha 90.00
_cell_angle_beta 109.22
_cell_angle_gamma 90.00
_space_group_name_H-M_alt 'C 1 2/c 1'
_space_group_IT_number 15
loop_
_space_group_symop_operation_xyz
'x,y,z'
'-x,-y,-z'
'-x,y,-z+1/2'
'x,-y,z+1/2'
'x+1/2,y+1/2,z'
'-x+1/2,-y+1/2,-z'
'-x+1/2,y+1/2,-z+1/2'
'x+1/2,-y+1/2,z+1/2'
loop_
_atom_site_label
_atom_site_type_symbol
_atom_site_fract_x
_atom_site_fract_y
_atom_site_fract_z
Th1 Th 0.000 0.082 0.250
Tl1 Tl 0.000 0.403 0.750
B1 B 0.241 0.144 0.754
O1 O 0.093 0.103 0.597
O2 O 0.183 0.451 0.108
O3 O 0.201 0.234 0.232
# - Crystal system: monoclinic
# - Uncorrected formation energy: -2.44 eV/atom
# - Energy: -7.73 eV/atom
# - Size of the total moment: 0.0 μB per formula unit

=====

(10)
# CaPuS2 | Alexandria via LeMat-Bulk | PBE | relaxed
data_CaPuS2
_chemical_formula_sum 'Ca3 Pu3 S6'
_cell_length_a 4.0029
_cell_length_b 4.0029
_cell_length_c 19.7262
_cell_angle_alpha 90.00
_cell_angle_beta 90.00
_cell_angle_gamma 120.00
_space_group_name_H-M_alt 'R -3 m'
_space_group_IT_number 166
_space_group_name_Hall '-R 3 2"'
loop_
_atom_site_label
_atom_site_type_symbol
_atom_site_fract_x
_atom_site_fract_y
_atom_site_fract_z
Ca1 Ca 0.0000 0.0000 0.0000
Pu1 Pu 0.0000 0.0000 0.5000
S1 S 0.0000 0.0000 0.2490
# - Crystal system: trigonal
# - Uncorrected formation energy: -1.89 eV/atom
# - Energy: -8.04 eV/atom
# - Size of the total moment: 5.8 μB per formula unit

=====

(11)
# Mn2SeCl | Alexandria via LeMat-Bulk | PBE | relaxed
data_Mn2SeCl
_chemical_formula_sum 'Mn4 Se2 Cl2'
_cell_length_a 7.640
_cell_length_b 3.679
_cell_length_c 6.393
_cell_angle_alpha 90.00
_cell_angle_beta 92.66
_cell_angle_gamma 90.00
_space_group_name_H-M_alt 'C 1 m 1'
_space_group_IT_number 8
loop_
_space_group_symop_operation_xyz
'x,y,z'
'x,-y,z'
'x+1/2,y+1/2,z'
'x+1/2,-y+1/2,z'
loop_
_atom_site_label
_atom_site_type_symbol
_atom_site_fract_x
_atom_site_fract_y
_atom_site_fract_z
Mn1 Mn 0.000 0.000 0.000
Mn2 Mn 0.098 0.500 0.649
Se1 Se 0.301 0.000 0.841
Cl1 Cl 0.016 0.000 0.378
# - Crystal system: monoclinic
# - Uncorrected formation energy: -0.33 eV/atom
# - Energy: -6.25 eV/atom
# - Size of the total moment: 8.9 μB per formula unit

=====

(12)
# BaLaSbF2 | Alexandria via LeMat-Bulk | PBE | relaxed
data_BaLaSbF2
_chemical_formula_sum 'Ba1 La1 Sb1 F2'
_cell_length_a 4.904
_cell_length_b 4.904
_cell_length_c 6.350
_cell_angle_alpha 90.00
_cell_angle_beta 90.00
_cell_angle_gamma 90.00
_space_group_name_H-M_alt 'P 4/m m m'
_space_group_IT_number 123
_space_group_name_Hall '-P 4 2'
loop_
_atom_site_label
_atom_site_type_symbol
_atom_site_fract_x
_atom_site_fract_y
_atom_site_fract_z
Ba1 Ba 0.000 0.000 0.000
La1 La 0.500 0.500 0.000
Sb1 Sb 0.500 0.500 0.500
F1 F 0.000 0.500 0.500
# - Crystal system: tetragonal
# - Uncorrected formation energy: -0.93 eV/atom
# - Energy: -3.87 eV/atom
# - Size of the total moment: 0.0 μB per formula unit

=====

(13)
# YOs2Cl | Alexandria via LeMat-Bulk | PBE | relaxed
data_YOs2Cl
_chemical_formula_sum 'Y3 Os6 Cl3'
_cell_length_a 3.0196
_cell_length_b 3.0196
_cell_length_c 28.0795
_cell_angle_alpha 90.00
_cell_angle_beta 90.00
_cell_angle_gamma 120.00
_space_group_name_H-M_alt 'R 3 m'
_space_group_IT_number 160
_space_group_name_Hall 'R 3 -2"'
loop_
_atom_site_label
_atom_site_type_symbol
_atom_site_fract_x
_atom_site_fract_y
_atom_site_fract_z
Y1 Y 0.0000 0.0000 0.0000
Os1 Os 0.0000 0.0000 0.2422
Os2 Os 0.0000 0.0000 0.5071
Cl1 Cl 0.0000 0.0000 0.7400
# - Crystal system: trigonal
# - Uncorrected formation energy: 0.30 eV/atom
# - Energy: -7.39 eV/atom
# - Size of the total moment: 0.0 μB per formula unit

=====

(14)
# CaPbNF2 | Alexandria via LeMat-Bulk | PBE | relaxed
data_CaPbNF2
_chemical_formula_sum 'Ca1 Pb1 N1 F2'
_cell_length_a 4.608
_cell_length_b 4.608
_cell_length_c 4.463
_cell_angle_alpha 90.00
_cell_angle_beta 90.00
_cell_angle_gamma 90.00
_space_group_name_H-M_alt 'P 4/m m m'
_space_group_IT_number 123
_space_group_name_Hall '-P 4 2'
loop_
_atom_site_label
_atom_site_type_symbol
_atom_site_fract_x
_atom_site_fract_y
_atom_site_fract_z
Ca1 Ca 0.000 0.000 0.000
Pb1 Pb 0.500 0.500 0.500
N1 N 0.500 0.500 0.000
F1 F 0.000 0.500 0.500
# - Crystal system: tetragonal
# - Uncorrected formation energy: -1.21 eV/atom
# - Energy: -4.77 eV/atom
# - Size of the total moment: 0.0 μB per formula unit

=====

(15)
# YHoCBr | Alexandria via LeMat-Bulk | PBE | relaxed
data_YHoCBr
_chemical_formula_sum 'Y3 Ho3 C3 Br3'
_cell_length_a 3.6794
_cell_length_b 3.6794
_cell_length_c 21.3362
_cell_angle_alpha 90.00
_cell_angle_beta 90.00
_cell_angle_gamma 120.00
_space_group_name_H-M_alt 'R 3 m'
_space_group_IT_number 160
_space_group_name_Hall 'R 3 -2"'
loop_
_atom_site_label
_atom_site_type_symbol
_atom_site_fract_x
_atom_site_fract_y
_atom_site_fract_z
Y1 Y 0.0000 0.0000 0.0000
Ho1 Ho 0.0000 0.0000 0.7859
C1 C 0.0000 0.0000 0.3962
Br1 Br 0.0000 0.0000 0.2252
# - Crystal system: trigonal
# - Uncorrected formation energy: -0.95 eV/atom
# - Energy: -6.43 eV/atom
# - Size of the total moment: 0.0 μB per formula unit

=====

(16)
# NdZnCo | Alexandria via LeMat-Bulk | PBE | relaxed
data_NdZnCo
_chemical_formula_sum 'Nd4 Zn4 Co4'
_cell_length_a 4.008
_cell_length_b 15.881
_cell_length_c 3.848
_cell_angle_alpha 90.00
_cell_angle_beta 90.00
_cell_angle_gamma 90.00
_space_group_name_H-M_alt 'C m c m'
_space_group_IT_number 63
_space_group_name_Hall '-C 2c 2'
loop_
_atom_site_label
_atom_site_type_symbol
_atom_site_fract_x
_atom_site_fract_y
_atom_site_fract_z
Nd1 Nd 0.000 0.103 0.250
Zn1 Zn 0.000 0.299 0.250
Co1 Co 0.000 0.461 0.250
# - E_form: -0.1627 eV/atom
# - Crystal system: orthorhombic
# - Energy: -4.55 eV/atom
# - Size of the total moment: 0.4 μB per formula unit

=====

(17)
# Ba3Hg6SbPb2 | Alexandria via LeMat-Bulk | PBE | relaxed
data_Ba3Hg6SbPb2
_chemical_formula_sum 'Ba3 Hg6 Sb1 Pb2'
_cell_length_a 6.1717
_cell_length_b 6.1717
_cell_length_c 11.8054
_cell_angle_alpha 90.00
_cell_angle_beta 90.00
_cell_angle_gamma 120.00
_space_group_name_H-M_alt 'P -3 m 1'
_space_group_IT_number 164
_space_group_name_Hall '-P 3 2"'
loop_
_atom_site_label
_atom_site_type_symbol
_atom_site_fract_x
_atom_site_fract_y
_atom_site_fract_z
Ba1 Ba 0.0000 0.0000 0.0000
Ba2 Ba 0.3333 0.6667 0.5913
Hg1 Hg 0.1706 0.3411 0.2525
Sb1 Sb 0.0000 0.0000 0.5000
Pb1 Pb 0.3333 0.6667 0.9128
# - Crystal system: trigonal
# - Uncorrected formation energy: -0.35 eV/atom
# - Energy: -1.94 eV/atom
# - Size of the total moment: 0.0 μB per formula unit

=====

(18)
# TlZn2Au4 | Alexandria via LeMat-Bulk | PBE | relaxed
data_TlZn2Au4
_chemical_formula_sum 'Tl2 Zn4 Au8'
_cell_length_a 4.327
_cell_length_b 13.469
_cell_length_c 4.991
_cell_angle_alpha 90.00
_cell_angle_beta 104.09
_cell_angle_gamma 90.00
_space_group_name_H-M_alt 'P 1 21/m 1'
_space_group_IT_number 11
loop_
_space_group_symop_operation_xyz
'x,y,z'
'-x,-y,-z'
'-x,y+1/2,-z'
'x,-y+1/2,z'
loop_
_atom_site_label
_atom_site_type_symbol
_atom_site_fract_x
_atom_site_fract_y
_atom_site_fract_z
Tl1 Tl 0.028 0.250 0.498
Zn1 Zn 0.426 0.062 0.229
Au1 Au 0.000 0.000 0.500
Au2 Au 0.172 0.614 0.080
Au3 Au 0.398 0.250 0.074
# - E_form: -0.0603 eV/atom
# - Crystal system: monoclinic
# - Energy: -2.64 eV/atom
# - Size of the total moment: 0.0 μB per formula unit

=====

(19)
# LuNbW4 | Alexandria via LeMat-Bulk | PBE | relaxed
data_LuNbW4
_chemical_formula_sum 'Lu4 Nb4 W16'
_cell_length_a 7.629
_cell_length_b 7.629
_cell_length_c 7.629
_cell_angle_alpha 90.00
_cell_angle_beta 90.00
_cell_angle_gamma 90.00
_space_group_name_H-M_alt 'F -4 3 m'
_space_group_IT_number 216
_space_group_name_Hall 'F -4 2 3'
loop_
_atom_site_label
_atom_site_type_symbol
_atom_site_fract_x
_atom_site_fract_y
_atom_site_fract_z
Lu1 Lu 0.000 0.000 0.000
Nb1 Nb 0.250 0.250 0.250
W1 W 0.125 0.125 0.625
# - E_form: 0.0205 eV/atom
# - Crystal system: cubic
# - Energy: -11.05 eV/atom
# - Size of the total moment: 0.0 μB per formula unit

=====

(20)
# Tb2NdDy6Er | Alexandria via LeMat-Bulk | PBE | relaxed
data_Tb2NdDy6Er
_chemical_formula_sum 'Tb8 Nd4 Dy24 Er4'
_cell_length_a 9.062
_cell_length_b 15.032
_cell_length_c 9.555
_cell_angle_alpha 90.00
_cell_angle_beta 97.38
_cell_angle_gamma 90.00
_space_group_name_H-M_alt 'C 1 2/c 1'
_space_group_IT_number 15
loop_
_space_group_symop_operation_xyz
'x,y,z'
'-x,-y,-z'
'-x,y,-z+1/2'
'x,-y,z+1/2'
'x+1/2,y+1/2,z'
'-x+1/2,-y+1/2,-z'
'-x+1/2,y+1/2,-z+1/2'
'x+1/2,-y+1/2,z+1/2'
loop_
_atom_site_label
_atom_site_type_symbol
_atom_site_fract_x
_atom_site_fract_y
_atom_site_fract_z
Tb1 Tb 0.249 0.052 0.455
Nd1 Nd 0.000 0.476 0.250
Dy1 Dy 0.064 0.313 0.943
Dy2 Dy 0.100 0.108 0.119
Dy3 Dy 0.208 0.275 0.316
Er1 Er 0.000 0.091 0.750
# - E_form: 0.1186 eV/atom
# - Crystal system: monoclinic
# - Energy: -4.50 eV/atom
# - Size of the total moment: 0.0 μB per formula unit